CrH2N meta-GGA SCAN PBEsol geometry; E = -67.7 eV for the cell shown; magnetization = 0.4910 μB/atom
1.0
2.677 0.000 0.000
0.000 2.677 0.000
-1.339 -1.339 7.416
Cr H N
2 4 2
direct
0.000 0.000 0.000 Cr
0.250 0.750 0.500 Cr
0.625 0.875 0.750 H
0.125 0.875 0.750 H
0.125 0.875 0.250 H
0.125 0.375 0.250 H
0.500 0.500 0.000 N
0.750 0.250 0.500 N